VASP calculation (PBE) on a relaxed structure of Ca3Ce3HoSe8.

Cell: 8.3887 8.3873 8.4468 Å, 119.75 90.00 120.01°
With the nearest neighbours (Å) after each atom.
Fractional positions:
Ce 0.5000 0.0000 0.5000  6 Se 2.98-3.00
Ho 0.0000 0.0000 0.5000  6 Se 2.89
Se 0.2478 0.4956 0.2435  3 Ca 2.95, 3 Ce 3.00
Ca 0.5000 0.5000 0.0000  6 Se 2.95-2.97
Ca 0.0000 0.0000 0.0000  6 Se 2.95-2.97
Ca 0.0000 0.5000 0.0000  6 Se 2.95-2.97
Se 0.7522 0.5044 0.7565  3 Ca 2.95, 3 Ce 3.00
Ce 0.5000 0.5000 0.5000  6 Se 2.98-3.00
Se 0.2418 0.9989 0.2560  1 Ho 2.89, 2 Ca 2.97, 2 Ce 2.98
Se 0.7571 0.5143 0.2560  1 Ho 2.89, 2 Ca 2.97, 2 Ce 2.98
Se 0.7582 0.0011 0.7440  1 Ho 2.89, 2 Ca 2.97, 2 Ce 2.98
Se 0.2429 0.0011 0.7440  1 Ho 2.89, 2 Ca 2.97, 2 Ce 2.98
Ce 0.0000 0.5000 0.5000  6 Se 2.98-3.00
Se 0.2429 0.4857 0.7440  1 Ho 2.89, 2 Ca 2.97, 2 Ce 2.98
Se 0.7571 0.9989 0.2560  1 Ho 2.89, 2 Ca 2.97, 2 Ce 2.98

Its total energy is -5.6285 eV/atom. Its formation energy (no corrections) is -1878 meV/atom. Its magnetic moment is 0.27 μB per atom.